The following is a DFT calculation (PBE) of Tl3ZnI4 after structural relaxation.

Calculated values
Formation energy without anion corrections = -0.495 eV per atom

The structure in extended XYZ format:
```
16
Lattice="8.450 0.000 0.000 0.000 10.636 0.000 -3.469 0.000 8.243" Properties=species:S:1:pos:R:3 pbc="T T T"
Tl 0.000 0.000 0.000
Tl -0.125 2.862 4.177
Tl -0.125 7.774 4.177
Tl 1.125 3.039 7.613
Tl 1.125 7.597 7.613
Tl 4.563 5.318 2.897
Zn 2.614 5.318 0.196
Zn 3.671 0.000 3.877
I -2.014 5.318 5.740
I 2.949 2.076 2.418
I 2.949 8.560 2.418
I 2.176 5.318 5.294
I 2.121 0.000 6.094
I 7.317 3.113 1.034
I 7.317 7.523 1.034
I 6.127 0.000 4.817
```

The following is a DFT calculation (PBE) of Pa2Zn5Cu after structural relaxation.

Calculated values
Energy of formation from the pure elements = -0.8 kcal/mol of atoms

The structure in extended XYZ format:
```
16
Lattice="2.125 -7.878 0.000 2.125 7.878 0.000 0.000 0.000 8.774" Properties=species:S:1:pos:R:3 pbc="T T T"
Pa 0.000 0.000 0.000
Pa 0.000 0.000 4.387
Pa 2.125 4.796 6.580
Pa 2.125 -4.796 2.193
Zn 2.125 4.903 0.932
Zn 2.125 4.903 3.455
Zn 2.125 2.327 0.204
Zn 2.125 2.327 4.182
Zn 2.125 1.529 6.580
Zn 2.125 -1.529 2.193
Zn 2.125 -2.327 4.591
Zn 2.125 -2.327 8.569
Zn 2.125 -4.903 5.319
Zn 2.125 -4.903 7.841
Cu 2.125 0.884 2.193
Cu 2.125 -0.884 6.580
```

The following is a DFT calculation (PBE) of HfNpU after structural relaxation.

Calculated values
Energy of formation from the pure elements = 5.2 kcal/mol of atoms

The structure in extended XYZ format:
```
6
Lattice="3.403 0.000 0.000 0.000 3.403 0.000 0.000 0.000 10.860" Properties=species:S:1:pos:R:3 pbc="T T T"
Hf 0.000 0.000 0.000
Hf 1.702 1.702 5.430
Np 0.000 0.000 3.277
Np 1.702 1.702 8.707
U 0.000 0.000 7.652
U 1.702 1.702 2.222
```

Number 1: magnetic moment 0.0 μB per cell. Number 2: magnetic moment 0.7 μB per cell. Number 3: magnetic moment 0.1 μB per cell.